(1)
A relaxed SmHfTiN3 crystal, computed with PBE-GGA.

CIF file:
```
data_SmHfTiN3
_cell_length_a 6.779
_cell_length_b 3.215
_cell_length_c 8.286
_cell_angle_alpha 90.00
_cell_angle_beta 94.08
_cell_angle_gamma 90.00
_symmetry_space_group_name_H-M 'P 1 21/m 1'
_symmetry_Int_Tables_number 11
loop_
_symmetry_equiv_pos_as_xyz
'x,y,z'
'-x,-y,-z'
'-x,y+1/2,-z'
'x,-y+1/2,z'
loop_
_atom_site_label
_atom_site_type_symbol
_atom_site_fract_x
_atom_site_fract_y
_atom_site_fract_z
Sm1 Sm 0.143 0.250 0.188
Hf1 Hf 0.363 0.750 0.874
Ti1 Ti 0.149 0.250 0.576
N1 N 0.146 0.250 0.847
N2 N 0.152 0.750 0.434
N3 N 0.408 0.750 0.124
```

Energy (eV per atom): -9.308
N(E_F) (states/eV/atom): 0.528
Calculated density (kg/m3): 7721
V (Å³/f.u.): 90


(2)
A relaxed TePb2F crystal, computed with PBE-GGA.

CIF file:
```
data_TePb2F
_cell_length_a 5.658
_cell_length_b 5.658
_cell_length_c 16.155
_cell_angle_alpha 90.00
_cell_angle_beta 90.00
_cell_angle_gamma 90.00
_symmetry_space_group_name_H-M 'I -4 2 d'
_symmetry_Int_Tables_number 122
_symmetry_space_group_name_Hall 'I -4 2bw'
loop_
_atom_site_label
_atom_site_type_symbol
_atom_site_fract_x
_atom_site_fract_y
_atom_site_fract_z
Te1 Te 0.000 0.000 0.000
Pb1 Pb 0.146 0.250 0.625
F1 F 0.000 0.000 0.500
```

N(E_F) (states/eV/atom): 0.615
Calculated density (kg/m3): 7205
ΔE to the lowest computed polymorph (eV per formula unit): 0.00
V (Å³/f.u.): 129


(3)
A relaxed ZrPaTe6 crystal, computed with PBE-GGA.

CIF file:
```
data_ZrPaTe6
_cell_length_a 5.525
_cell_length_b 6.660
_cell_length_c 7.675
_cell_angle_alpha 76.77
_cell_angle_beta 86.39
_cell_angle_gamma 77.01
_symmetry_space_group_name_H-M 'P -1'
_symmetry_Int_Tables_number 2
loop_
_symmetry_equiv_pos_as_xyz
'x,y,z'
'-x,-y,-z'
loop_
_atom_site_label
_atom_site_type_symbol
_atom_site_fract_x
_atom_site_fract_y
_atom_site_fract_z
Zr1 Zr 0.000 0.000 0.000
Pa1 Pa 0.500 0.500 0.500
Te1 Te 0.014 0.385 0.727
Te2 Te 0.334 0.720 0.803
Te3 Te 0.347 0.963 0.274
```

Energy (eV per atom): -5.083
N(E_F) (states/eV/atom): 0.471
Calculated density (kg/m3): 6743
V (Å³/f.u.): 268


(4)
A relaxed TlCdReNi2 crystal, computed with PBE-GGA.

CIF file:
```
data_TlCdReNi2
_cell_length_a 4.729
_cell_length_b 4.729
_cell_length_c 5.132
_cell_angle_alpha 90.00
_cell_angle_beta 90.00
_cell_angle_gamma 90.00
_symmetry_space_group_name_H-M 'P 4/m m m'
_symmetry_Int_Tables_number 123
_symmetry_space_group_name_Hall '-P 4 2'
loop_
_atom_site_label
_atom_site_type_symbol
_atom_site_fract_x
_atom_site_fract_y
_atom_site_fract_z
Tl1 Tl 0.000 0.000 0.000
Cd1 Cd 0.500 0.500 0.500
Re1 Re 0.000 0.000 0.500
Ni1 Ni 0.000 0.500 0.000
```

N(E_F) (states/eV/atom): 1.871
Calculated density (kg/m3): 8976
Energy relative to the elements (meV per atom): 1814.6
V (Å³/f.u.): 115


(5)
A relaxed SnBi2Rh crystal, computed with PBE-GGA.

CIF file:
```
data_SnBi2Rh
_cell_length_a 3.3142
_cell_length_b 3.3142
_cell_length_c 33.6715
_cell_angle_alpha 90.00
_cell_angle_beta 90.00
_cell_angle_gamma 120.00
_symmetry_space_group_name_H-M 'R -3 m'
_symmetry_Int_Tables_number 166
_symmetry_space_group_name_Hall '-R 3 2"'
loop_
_atom_site_label
_atom_site_type_symbol
_atom_site_fract_x
_atom_site_fract_y
_atom_site_fract_z
Sn1 Sn 0.0000 0.0000 0.0000
Bi1 Bi 0.0000 0.0000 0.4216
Rh1 Rh 0.0000 0.0000 0.5000
```

N(E_F) (states/eV/atom): 1.017
Calculated density (kg/m3): 9947
Energy relative to the elements (meV per atom): 414.1
V (Å³/f.u.): 107


(6)
A relaxed FeTc2Cl crystal, computed with PBE-GGA.

CIF file:
```
data_FeTc2Cl
_cell_length_a 4.361
_cell_length_b 4.361
_cell_length_c 2.840
_cell_angle_alpha 90.00
_cell_angle_beta 90.00
_cell_angle_gamma 90.00
_symmetry_space_group_name_H-M 'P 4/m m m'
_symmetry_Int_Tables_number 123
_symmetry_space_group_name_Hall '-P 4 2'
loop_
_atom_site_label
_atom_site_type_symbol
_atom_site_fract_x
_atom_site_fract_y
_atom_site_fract_z
Fe1 Fe 0.000 0.000 0.000
Tc1 Tc 0.000 0.500 0.500
Cl1 Cl 0.500 0.500 0.000
```

N(E_F) (states/eV/atom): 1.390
Calculated density (kg/m3): 8832
ΔE to the lowest computed polymorph (eV per formula unit): 1.96
V (Å³/f.u.): 54


(7)
A relaxed La2PrUS8 crystal, computed with PBE-GGA.

CIF file:
```
data_La2PrUS8
_cell_length_a 4.731
_cell_length_b 9.261
_cell_length_c 6.810
_cell_angle_alpha 90.00
_cell_angle_beta 90.10
_cell_angle_gamma 90.00
_symmetry_space_group_name_H-M 'P 1 2/m 1'
_symmetry_Int_Tables_number 10
loop_
_symmetry_equiv_pos_as_xyz
'x,y,z'
'-x,-y,-z'
'-x,y,-z'
'x,-y,z'
loop_
_atom_site_label
_atom_site_type_symbol
_atom_site_fract_x
_atom_site_fract_y
_atom_site_fract_z
La1 La 0.000 0.250 0.000
Pr1 Pr 0.500 0.000 0.500
U1 U 0.500 0.500 0.500
S1 S 0.000 0.000 0.249
S2 S 0.000 0.500 0.283
S3 S 0.499 0.275 0.739
```

Energy (eV per atom): -6.526
N(E_F) (states/eV/atom): 0.462
Calculated density (kg/m3): 5082
V (Å³/f.u.): 298


(8)
A relaxed Nd5HoGa6 crystal, computed with PBE-GGA.

CIF file:
```
data_Nd5HoGa6
_cell_length_a 8.977
_cell_length_b 15.601
_cell_length_c 5.195
_cell_angle_alpha 90.00
_cell_angle_beta 125.29
_cell_angle_gamma 90.00
_symmetry_space_group_name_H-M 'C 1 2/m 1'
_symmetry_Int_Tables_number 12
loop_
_symmetry_equiv_pos_as_xyz
'x,y,z'
'-x,-y,-z'
'-x,y,-z'
'x,-y,z'
'x+1/2,y+1/2,z'
'-x+1/2,-y+1/2,-z'
'-x+1/2,y+1/2,-z'
'x+1/2,-y+1/2,z'
loop_
_atom_site_label
_atom_site_type_symbol
_atom_site_fract_x
_atom_site_fract_y
_atom_site_fract_z
Nd1 Nd 0.000 0.000 0.000
Nd2 Nd 0.000 0.164 0.500
Nd3 Nd 0.000 0.328 0.000
Ho1 Ho 0.000 0.500 0.500
Ga1 Ga 0.235 0.500 0.235
Ga2 Ga 0.242 0.337 0.742
```

N(E_F) (states/eV/atom): 0.405
Calculated density (kg/m3): 7295
Energy relative to the elements (meV per atom): -556.8
V (Å³/f.u.): 297


(9)
A relaxed LaScZn17 crystal, computed with PBE-GGA.

CIF file:
```
data_LaScZn17
_cell_length_a 8.9994
_cell_length_b 8.9994
_cell_length_c 13.1931
_cell_angle_alpha 90.00
_cell_angle_beta 90.00
_cell_angle_gamma 120.00
_symmetry_space_group_name_H-M 'R 3 m'
_symmetry_Int_Tables_number 160
_symmetry_space_group_name_Hall 'R 3 -2"'
loop_
_atom_site_label
_atom_site_type_symbol
_atom_site_fract_x
_atom_site_fract_y
_atom_site_fract_z
La1 La 0.0000 0.0000 0.0000
Sc1 Sc 0.0000 0.0000 0.6685
Zn1 Zn 0.0000 0.0000 0.2414
Zn2 Zn 0.0000 0.0000 0.4410
Zn3 Zn 0.9997 0.4998 0.1849
Zn4 Zn 0.0043 0.2984 0.3358
Zn5 Zn 0.0063 0.5032 0.8342
Zn6 Zn 0.0187 0.5093 0.4875
```

N(E_F) (states/eV/atom): 0.167
Calculated density (kg/m3): 6976
Energy relative to the elements (meV per atom): -208.1
V (Å³/f.u.): 308


(10)
A relaxed TcOs3Pb crystal, computed with PBE-GGA.

CIF file:
```
data_TcOs3Pb
_cell_length_a 4.735
_cell_length_b 4.735
_cell_length_c 4.735
_cell_angle_alpha 90.00
_cell_angle_beta 90.00
_cell_angle_gamma 90.00
_symmetry_space_group_name_H-M 'P m -3 m'
_symmetry_Int_Tables_number 221
_symmetry_space_group_name_Hall '-P 4 2 3'
loop_
_atom_site_label
_atom_site_type_symbol
_atom_site_fract_x
_atom_site_fract_y
_atom_site_fract_z
Tc1 Tc 0.000 0.000 0.000
Os1 Os 0.000 0.000 0.500
Pb1 Pb 0.500 0.500 0.500
```

N(E_F) (states/eV/atom): 1.404
Calculated density (kg/m3): 13700
Energy relative to the elements (meV per atom): 1970.0
ΔE to the lowest computed polymorph (eV per formula unit): 0.00
V (Å³/f.u.): 106


(11)
A relaxed Rb3CaAg2Br9 crystal, computed with PBE-GGA.

CIF file:
```
data_Rb3CaAg2Br9
_cell_length_a 7.8182
_cell_length_b 7.8182
_cell_length_c 9.6627
_cell_angle_alpha 90.00
_cell_angle_beta 90.00
_cell_angle_gamma 120.00
_symmetry_space_group_name_H-M 'P -3 m 1'
_symmetry_Int_Tables_number 164
_symmetry_space_group_name_Hall '-P 3 2"'
loop_
_atom_site_label
_atom_site_type_symbol
_atom_site_fract_x
_atom_site_fract_y
_atom_site_fract_z
Rb1 Rb 0.0000 0.0000 0.0000
Rb2 Rb 0.3333 0.6667 0.6664
Ca1 Ca 0.0000 0.0000 0.5000
Ag1 Ag 0.3333 0.6667 0.1575
Br1 Br 0.0000 0.5000 0.0000
Br2 Br 0.1693 0.3386 0.3245
```

Energy (eV per atom): -2.891
N(E_F) (states/eV/atom): 0.269
Calculated density (kg/m3): 3997
V (Å³/f.u.): 512


(12)
A relaxed Ac6Ir2PdI3 crystal, computed with PBE-GGA.

CIF file:
```
data_Ac6Ir2PdI3
_cell_length_a 7.664
_cell_length_b 13.275
_cell_length_c 9.025
_cell_angle_alpha 90.00
_cell_angle_beta 106.44
_cell_angle_gamma 90.00
_symmetry_space_group_name_H-M 'C 1 2/m 1'
_symmetry_Int_Tables_number 12
loop_
_symmetry_equiv_pos_as_xyz
'x,y,z'
'-x,-y,-z'
'-x,y,-z'
'x,-y,z'
'x+1/2,y+1/2,z'
'-x+1/2,-y+1/2,-z'
'-x+1/2,y+1/2,-z'
'x+1/2,-y+1/2,z'
loop_
_atom_site_label
_atom_site_type_symbol
_atom_site_fract_x
_atom_site_fract_y
_atom_site_fract_z
Ac1 Ac 0.219 0.000 0.185
Ac2 Ac 0.233 0.328 0.185
Ir1 Ir 0.000 0.167 0.000
Pd1 Pd 0.000 0.500 0.000
I1 I 0.000 0.000 0.500
I2 I 0.000 0.333 0.500
```

Energy (eV per atom): -5.407
N(E_F) (states/eV/atom): 0.439
Calculated density (kg/m3): 8424
V (Å³/f.u.): 440